Density functional theory data (GGA-PBEsol) for an optimized crystal structure of Tl2AgSb.

Results
- V: 99.5 Å³/cell
- Total magnetization: 0.000 μB/atom
- Crystal system: tetragonal
- Energy above the most stable polymorph in this dataset: 0.0 meV per atom
- Calculated total energy: -12.9 eV/cell
- DOS(E_F): 1.741 states/eV/cell
- E_form (uncorrected): 24.6 kJ/mol of formula units

abc: 3.407 3.407 8.571
angles: 90.00 90.00 90.00
Positions (direct):
Ag 0.000 0.000 0.492
Tl 0.500 0.500 0.714
Tl 0.000 0.000 0.005
Sb 0.500 0.500 0.289